8
Lattice="-2.804 2.804 5.247 2.804 -2.804 5.247 2.804 2.804 -5.247" Properties=species:S:1:pos:R:3 comment="Nb2NiS PBE relaxed" crystal_system=tetragonal space_group="I-42d, No. 122" pbc="T T T"
Nb 4.205 1.347 -1.312
Nb 1.347 1.402 1.312
Nb -1.402 1.457 3.935
Nb 1.457 1.402 6.559
Ni 0.000 0.000 0.000
Ni 0.000 2.804 2.624
S 2.804 0.000 2.624
S 0.000 0.000 5.247

---

5
Lattice="4.553 0.000 0.000 0.000 4.553 0.000 0.000 0.000 4.553" Properties=species:S:1:pos:R:3 comment="NbNi3S PBE relaxed" crystal_system=cubic space_group="Pm-3m, No. 221" de_polymorph_ev_per_atom=1.295 pbc="T T T"
Nb 0.000 0.000 0.000
Ni 0.000 0.000 2.276
Ni 0.000 2.276 0.000
Ni 2.276 0.000 0.000
S 2.276 2.276 2.276

---

26
Lattice="6.704 0.000 0.000 -3.352 5.806 0.000 0.000 0.000 11.921" Properties=species:S:1:pos:R:3 comment="Nb4NiS8 PBE relaxed" crystal_system=hexagonal space_group="P6_3/mmc, No. 194" pbc="T T T"
Nb 0.000 0.000 2.980
Nb 0.000 0.000 8.940
Nb -1.613 2.940 2.980
Nb 1.613 2.940 2.980
Nb 0.000 5.733 2.980
Nb 3.352 0.073 8.940
Nb 1.740 2.866 8.940
Nb 4.965 2.866 8.940
Ni 0.000 0.000 0.000
Ni 0.000 0.000 5.960
S 0.000 1.937 7.384
S 0.000 1.937 10.497
S -1.675 4.838 7.384
S -1.675 4.838 10.497
S 0.000 3.871 1.364
S 0.000 3.871 4.597
S 1.677 0.968 1.423
S 1.677 0.968 4.537
S 1.675 4.838 7.384
S 1.675 4.838 10.497
S 3.352 1.935 7.324
S 3.352 1.935 10.557
S 5.027 0.968 1.423
S 5.027 0.968 4.537
S 3.352 3.870 1.423
S 3.352 3.870 4.537

---

7
Lattice="3.390 0.000 0.000 -1.695 2.936 0.000 0.000 0.000 13.455" Properties=species:S:1:pos:R:3 comment="Nb2NiS4 PBE relaxed" crystal_system=trigonal space_group="P-3m1, No. 164" pbc="T T T"
Nb 0.000 1.957 3.606
Nb 1.695 0.979 9.849
Ni 0.000 0.000 0.000
S 0.000 1.957 1.221
S 0.000 1.957 8.428
S 1.695 0.979 5.027
S 1.695 0.979 12.234

---

5
Lattice="4.137 0.000 0.000 0.000 4.137 0.000 0.000 0.000 4.137" Properties=species:S:1:pos:R:3 comment="NbNi3S PBE relaxed" crystal_system=cubic space_group="Pm-3m, No. 221" de_polymorph_ev_per_atom=0.000 pbc="T T T"
Nb 0.000 0.000 0.000
Ni 0.000 2.069 2.069
Ni 2.069 0.000 2.069
Ni 2.069 2.069 0.000
S 2.069 2.069 2.069

---

8
Lattice="-3.333 3.333 2.462 3.333 -3.333 2.462 3.333 3.333 -2.462" Properties=species:S:1:pos:R:3 comment="NbNi2S PBE relaxed" crystal_system=tetragonal space_group="I-42d, No. 122" pbc="T T T"
Nb 0.000 0.000 0.000
Nb 0.000 3.333 1.231
Ni 1.667 -1.333 1.846
Ni 2.001 1.667 0.615
Ni 1.667 4.666 -0.615
Ni 1.333 1.667 3.077
S 3.333 0.000 1.231
S 0.000 0.000 2.462

---

4
Lattice="1.482 0.856 8.729 -1.482 0.856 8.729 0.000 -1.711 8.729" Properties=species:S:1:pos:R:3 comment="Nb2NiS PBE relaxed" crystal_system=trigonal space_group="R-3m, No. 166" pbc="T T T"
Nb 0.000 0.000 2.448
Nb 0.000 0.000 23.739
Ni 0.000 0.000 0.000
S 0.000 0.000 13.094

---

28
Lattice="10.239 0.000 0.000 0.000 3.362 0.000 0.000 0.000 16.726" Properties=species:S:1:pos:R:3 comment="Nb2NiS4 PBE relaxed" crystal_system=orthorhombic space_group="Pnma, No. 62" pbc="T T T"
Nb 0.586 0.841 1.324
Nb 1.466 0.841 9.377
Nb 3.654 2.522 1.014
Nb 4.533 2.522 9.687
Nb 5.705 0.841 7.039
Nb 6.585 0.841 15.712
Nb 8.773 2.522 7.349
Nb 9.653 2.522 15.402
Ni 1.446 0.841 12.055
Ni 3.673 2.522 3.692
Ni 6.566 0.841 13.034
Ni 8.793 2.522 4.671
S 0.238 0.841 13.805
S 0.357 0.841 7.074
S 1.631 2.522 16.438
S 2.387 2.522 11.073
S 2.733 0.841 2.710
S 3.488 0.841 8.075
S 4.762 2.522 15.437
S 4.881 2.522 5.442
S 5.358 0.841 11.284
S 5.476 0.841 1.289
S 6.751 2.522 8.651
S 7.506 2.522 14.016
S 7.852 0.841 5.653
S 8.607 0.841 0.288
S 9.882 2.522 9.652
S 10.001 2.522 2.921

---

5
Lattice="6.046 0.000 0.000 0.000 6.046 0.000 0.000 0.000 4.606" Properties=species:S:1:pos:R:3 comment="Sr2NbNiS PBE relaxed" crystal_system=tetragonal space_group="P4/mmm, No. 123" pbc="T T T"
Sr 0.000 3.023 0.000
Sr 3.023 0.000 0.000
Nb 0.000 0.000 0.000
Ni 3.023 3.023 2.303
S 0.000 0.000 2.303

---

5
Lattice="5.340 0.000 0.000 0.000 5.340 0.000 0.000 0.000 4.703" Properties=species:S:1:pos:R:3 comment="NbNiTe2S PBE relaxed" crystal_system=tetragonal space_group="P4/mmm, No. 123" pbc="T T T"
Nb 0.000 0.000 0.000
Ni 0.000 0.000 2.351
Te 0.000 2.670 0.000
Te 2.670 0.000 0.000
S 2.670 2.670 2.351

---

5
Lattice="4.603 0.000 0.000 0.000 4.603 0.000 0.000 0.000 5.366" Properties=species:S:1:pos:R:3 comment="NbNi2TeS PBE relaxed" crystal_system=tetragonal space_group="P4/mmm, No. 123" pbc="T T T"
Nb 0.000 0.000 0.000
Ni 0.000 2.301 0.000
Ni 2.301 0.000 0.000
Te 0.000 0.000 2.683
S 2.301 2.301 2.683

---

8
Lattice="-3.532 3.532 4.096 3.532 -3.532 4.096 3.532 3.532 -4.096" Properties=species:S:1:pos:R:3 comment="NbTl2NiS4 PBE relaxed" crystal_system=tetragonal space_group="I-4, No. 82" pbc="T T T"
Nb 0.000 0.000 0.000
Tl 0.000 0.000 4.096
Tl 0.000 3.532 2.048
Ni 3.532 0.000 2.048
S 5.355 -0.976 1.227
S 2.556 -1.824 2.869
S 1.708 0.976 1.227
S 4.508 1.824 2.869

---

Uncorrected formation energy: 0.248, 1.511, -1.010, -0.529, 0.217, -0.202, 0.227, -0.714, 0.575, 0.870, 1.234, -0.522 (eV/atom)
Ρ: 5.567, 5.298, 4.916, 4.621, 7.059, 7.356, 6.917, 4.300, 3.540, 5.435, 5.403, 5.596 (g/cm³)